## Sm6NiC2Cl3 (GGA-PBE)

Data for Sm6NiC2Cl3 after structural relaxation. Values from VASP.

Calculated values
Formation energy without anion corrections in eV per atom: -0.965

```
&SYSTEM
  ibrav = 0, nat = 12, ntyp = 4
/
ATOMIC_SPECIES
Sm 150.36 Sm.upf
Ni 58.69 Ni.upf
C 12.01 C.upf
Cl 35.45 Cl.upf
ATOMIC_POSITIONS crystal
Sm 0.3341 0.8708 0.6682
Sm 0.6805 0.5501 0.3610
Sm 0.6659 0.1292 0.3318
Sm 0.0226 0.2379 0.0451
Sm 0.9774 0.7621 0.9549
Sm 0.3195 0.4499 0.6390
Ni 0.5000 0.0000 0.0000
C 0.8276 0.6642 0.6552
C 0.1724 0.3358 0.3448
Cl 0.5000 0.5000 0.0000
Cl 0.8338 0.1777 0.6676
Cl 0.1662 0.8223 0.3324
CELL_PARAMETERS angstrom
-2.8083 -2.4683 -0.4511
4.1654 -5.5876 4.6416
-3.7931 6.1420 5.7268
```